1 | The following is a DFT calculation (GGA-PBE) of a geometry-optimized La5Tb2Y2 structure.

Cell lengths 10.165, 10.165, 10.165 Å; angles 84.98, 108.86, 139.84 degrees
Positions (direct):
La 0.232 0.051 0.283
La 0.232 0.449 0.681
La 0.382 0.011 0.083
La 0.382 0.799 0.871
La 0.415 0.423 0.492
La 0.768 0.551 0.319
La 0.768 0.949 0.717
La 0.928 0.299 0.917
La 0.928 0.511 0.129
La 0.931 0.923 0.508
Tb 0.347 0.347 0.000
Tb 0.347 0.847 0.500
Tb 0.375 0.631 0.244
Tb 0.387 0.131 0.756
Y 0.812 0.190 0.366
Y 0.812 0.945 0.122
Y 0.824 0.445 0.634
Y 0.824 0.690 0.878

- symmetry = Ima2, No. 46

***

2 | The following is a DFT calculation (GGA-PBE) of a geometry-optimized La5Tb2Y2 structure.

Cell lengths 8.189, 8.189, 8.188 Å; angles 107.72, 107.72, 37.13 degrees
Positions (direct):
La 0.000 0.000 0.000
La 0.223 0.223 0.334
La 0.333 0.333 0.999
La 0.667 0.667 0.001
La 0.777 0.777 0.666
Tb 0.109 0.109 0.665
Tb 0.891 0.891 0.335
Y 0.446 0.446 0.661
Y 0.554 0.554 0.339

- symmetry = C2/m, No. 12

***

List of relative energies, unit meV per atom: 1 168; 2 0

***

1 | The following is a DFT calculation (GGA-PBE) of a geometry-optimized La6Tb4Y structure.

Cell lengths 9.423, 9.423, 9.423 Å; angles 136.30, 136.30, 63.52 degrees
Positions (direct):
La 0.000 0.500 0.500
La 0.010 0.624 0.000
La 0.376 0.376 0.386
La 0.500 0.000 0.500
La 0.624 0.010 0.000
La 0.990 0.990 0.614
Tb 0.229 0.229 0.662
Tb 0.434 0.771 0.000
Tb 0.566 0.566 0.338
Tb 0.771 0.434 0.000
Y 0.000 0.000 0.000

- symmetry = I-42m, No. 121

***

2 | The following is a DFT calculation (GGA-PBE) of a geometry-optimized La6Tb4Y structure.

Cell lengths 9.916, 9.916, 9.916 Å; angles 140.80, 140.80, 56.64 degrees
Positions (direct):
La 0.000 0.500 0.500
La 0.041 0.695 0.000
La 0.305 0.305 0.346
La 0.500 0.000 0.500
La 0.695 0.041 0.000
La 0.959 0.959 0.654
Tb 0.137 0.137 0.632
Tb 0.495 0.863 0.000
Tb 0.505 0.505 0.368
Tb 0.863 0.495 0.000
Y 0.500 0.500 0.000

- symmetry = I-42m, No. 121

***

List of relative energies, unit meV per atom: 1 14; 2 0

***

1 | The following is a DFT calculation (GGA-PBE) of a geometry-optimized La3TbY2 structure.

Cell lengths 8.926, 8.926, 8.926 Å; angles 101.96, 96.03, 133.45 degrees
Positions (direct):
La 0.015 0.750 0.265
La 0.250 0.250 0.000
La 0.485 0.750 0.735
La 0.515 0.250 0.265
La 0.750 0.750 0.000
La 0.985 0.250 0.735
Tb 0.000 0.500 0.500
Tb 0.500 0.000 0.500
Y 0.199 0.245 0.445
Y 0.301 0.745 0.046
Y 0.699 0.255 0.954
Y 0.801 0.755 0.555

- symmetry = Ibam, No. 72

***

2 | The following is a DFT calculation (GGA-PBE) of a geometry-optimized La3TbY2 structure.

Cell lengths 6.358, 6.358, 11.934 Å; angles 95.09, 95.09, 120.01 degrees
Positions (direct):
La 0.083 0.417 0.750
La 0.249 0.249 0.250
La 0.417 0.083 0.750
La 0.583 0.917 0.250
La 0.751 0.751 0.750
La 0.917 0.583 0.250
Tb 0.167 0.833 0.000
Tb 0.833 0.167 0.000
Y 0.000 0.000 0.500
Y 0.333 0.667 0.500
Y 0.500 0.500 0.000
Y 0.667 0.333 0.500

- symmetry = C2/m, No. 12

***

List of relative energies, unit meV per atom: 1 556; 2 0

***

1 | The following is a DFT calculation (GGA-PBE) of a geometry-optimized La3TbZn structure.

Cell lengths 15.186, 15.186, 5.660 Å; angles 90.01, 90.01, 14.23 degrees
Positions (direct):
La 0.044 0.044 0.253
La 0.127 0.127 0.750
La 0.340 0.340 0.750
La 0.660 0.660 0.250
La 0.873 0.873 0.250
La 0.956 0.956 0.747
Tb 0.267 0.267 0.250
Tb 0.733 0.733 0.750
Zn 0.459 0.459 0.245
Zn 0.541 0.541 0.755

- symmetry = C2/m, No. 12

***

2 | The following is a DFT calculation (GGA-PBE) of a geometry-optimized La3TbZn structure.

Cell lengths 3.787, 11.053, 8.054 Å; angles 90.00, 90.12, 90.00 degrees
Positions (direct):
La 0.248 0.028 0.255
La 0.248 0.472 0.255
La 0.250 0.250 0.647
La 0.750 0.750 0.353
La 0.752 0.528 0.745
La 0.752 0.972 0.745
Tb 0.252 0.750 0.998
Tb 0.748 0.250 0.002
Zn 0.251 0.750 0.646
Zn 0.749 0.250 0.354

- symmetry = P2_1/m, No. 11

***

List of relative energies, unit meV per atom: 1 0; 2 122

***

1 | The following is a DFT calculation (GGA-PBE) of a geometry-optimized LaTb4Zn structure.

Cell lengths 3.613, 3.613, 13.735 Å; angles 90.00, 90.00, 90.00 degrees
Positions (direct):
La 0.000 0.000 0.000
Tb 0.000 0.000 0.372
Tb 0.000 0.000 0.628
Tb 0.500 0.500 0.188
Tb 0.500 0.500 0.812
Zn 0.500 0.500 0.500

- symmetry = P4/mmm, No. 123

***

2 | The following is a DFT calculation (GGA-PBE) of a geometry-optimized LaTb4Zn structure.

Cell lengths 8.153, 8.153, 6.276 Å; angles 100.25, 100.25, 113.42 degrees
Positions (direct):
La 0.102 0.898 0.750
La 0.898 0.102 0.250
Tb 0.120 0.335 0.868
Tb 0.215 0.576 0.446
Tb 0.335 0.120 0.368
Tb 0.424 0.785 0.054
Tb 0.576 0.215 0.946
Tb 0.665 0.880 0.632
Tb 0.785 0.424 0.554
Tb 0.880 0.665 0.132
Zn 0.500 0.500 0.250
Zn 0.500 0.500 0.750

- symmetry = C2/c, No. 15

***

List of relative energies, unit meV per atom: 1 0; 2 90

***

1 | The following is a DFT calculation (GGA-PBE) of a geometry-optimized La4TbZn structure.

Cell lengths 5.346, 5.346, 7.654 Å; angles 90.00, 90.00, 90.00 degrees
Positions (direct):
La 0.000 0.500 0.233
La 0.000 0.500 0.767
La 0.500 0.000 0.233
La 0.500 0.000 0.767
Tb 0.000 0.000 0.500
Zn 0.500 0.500 0.000

- symmetry = P4/mmm, No. 123

***

2 | The following is a DFT calculation (GGA-PBE) of a geometry-optimized La4TbZn structure.

Cell lengths 3.729, 3.729, 14.104 Å; angles 90.00, 90.00, 90.00 degrees
Positions (direct):
La 0.000 0.000 0.134
La 0.000 0.000 0.866
La 0.500 0.500 0.321
La 0.500 0.500 0.679
Tb 0.000 0.000 0.500
Zn 0.500 0.500 0.000

- symmetry = P4/mmm, No. 123

***

List of relative energies, unit meV per atom: 1 393; 2 0

***

1 | The following is a DFT calculation (GGA-PBE) of a geometry-optimized LaTbZn structure.

Cell lengths 6.755, 6.755, 6.755 Å; angles 148.27, 148.27, 45.49 degrees
Positions (direct):
La 0.000 0.000 0.000
Tb 0.288 0.288 0.000
Zn 0.660 0.660 0.000

- symmetry = I4mm, No. 107

***

2 | The following is a DFT calculation (GGA-PBE) of a geometry-optimized LaTbZn structure.

Cell lengths 5.072, 5.072, 3.893 Å; angles 90.00, 90.00, 120.00 degrees
Positions (direct):
La 0.000 0.000 0.000
Tb 0.333 0.667 0.517
Zn 0.667 0.333 0.460

- symmetry = P3m1, No. 156

***

List of relative energies, unit meV per atom: 1 0; 2 142

***

1 | The following is a DFT calculation (GGA-PBE) of a geometry-optimized La2TbZr structure.

Cell lengths 5.046, 5.046, 4.900 Å; angles 90.00, 90.00, 90.00 degrees
Positions (direct):
La 0.000 0.500 0.000
La 0.500 0.000 0.000
Tb 0.000 0.000 0.500
Zr 0.500 0.500 0.500

- symmetry = P4/mmm, No. 123

***

2 | The following is a DFT calculation (GGA-PBE) of a geometry-optimized La2TbZr structure.

Cell lengths 11.748, 11.748, 11.748 Å; angles 17.29, 17.29, 17.29 degrees
Positions (direct):
La 0.000 0.000 0.000
La 0.158 0.158 0.158
Tb 0.577 0.577 0.577
Zr 0.746 0.746 0.746

- symmetry = R3m, No. 160

***

3 | The following is a DFT calculation (GGA-PBE) of a geometry-optimized La2TbZr structure.

Cell lengths 12.400, 12.400, 12.400 Å; angles 15.90, 15.90, 15.90 degrees
Positions (direct):
La 0.084 0.084 0.084
La 0.916 0.916 0.916
Tb 0.500 0.500 0.500
Zr 0.000 0.000 0.000

- symmetry = R-3m, No. 166

***

4 | The following is a DFT calculation (GGA-PBE) of a geometry-optimized La2TbZr structure.

Cell lengths 5.601, 5.601, 5.601 Å; angles 60.00, 60.00, 60.00 degrees
Positions (direct):
La 0.250 0.250 0.250
La 0.750 0.750 0.750
Tb 0.000 0.000 0.000
Zr 0.500 0.500 0.500

- symmetry = Fm-3m, No. 225

***

List of relative energies, unit meV per atom: 1 0; 2 9; 3 182; 4 62

***

1 | The following is a DFT calculation (GGA-PBE) of a geometry-optimized La5Tc structure.

Cell lengths 6.202, 6.202, 6.021 Å; angles 90.00, 90.00, 120.00 degrees
Positions (direct):
La 0.000 0.500 0.000
La 0.333 0.667 0.500
La 0.500 0.000 0.000
La 0.500 0.500 0.000
La 0.667 0.333 0.500
Tc 0.000 0.000 0.500

- symmetry = P6/mmm, No. 191

***

2 | The following is a DFT calculation (GGA-PBE) of a geometry-optimized La5Tc structure.

Cell lengths 3.841, 3.841, 16.043 Å; angles 90.00, 90.00, 120.00 degrees
Positions (direct):
La 0.000 0.000 0.000
La 0.000 0.000 0.387
La 0.000 0.000 0.613
La 0.667 0.333 0.186
La 0.667 0.333 0.814
Tc 0.667 0.333 0.500

- symmetry = P-6m2, No. 187

***

3 | The following is a DFT calculation (GGA-PBE) of a geometry-optimized La5Tc structure.

Cell lengths 3.594, 3.594, 14.840 Å; angles 90.00, 90.00, 90.00 degrees
Positions (direct):
La 0.000 0.000 0.000
La 0.000 0.000 0.383
La 0.000 0.000 0.617
La 0.500 0.500 0.175
La 0.500 0.500 0.825
Tc 0.500 0.500 0.500

- symmetry = P4/mmm, No. 123

***

List of relative energies, unit meV per atom: 1 838; 2 130; 3 0

***

1 | The following is a DFT calculation (GGA-PBE) of a geometry-optimized La5Tc structure.

Cell lengths 6.444, 6.444, 8.374 Å; angles 106.26, 106.26, 35.03 degrees
Positions (direct):
La 0.000 0.000 0.000
La 0.324 0.324 0.184
La 0.378 0.378 0.617
La 0.622 0.622 0.383
La 0.676 0.676 0.816
Tc 0.000 0.000 0.500

- symmetry = C2/m, No. 12

***

2 | The following is a DFT calculation (GGA-PBE) of a geometry-optimized La5Tc structure.

Cell lengths 7.628, 7.628, 6.037 Å; angles 90.00, 90.00, 147.22 degrees
Positions (direct):
La 0.000 0.000 0.000
La 0.128 0.872 0.500
La 0.358 0.642 0.000
La 0.642 0.358 0.000
La 0.872 0.128 0.500
Tc 0.500 0.500 0.500

- symmetry = Cmmm, No. 65

***

List of relative energies, unit meV per atom: 1 0; 2 102

***

1 | The following is a DFT calculation (GGA-PBE) of a geometry-optimized La5Tc structure.

Cell lengths 6.375, 6.375, 5.204 Å; angles 90.00, 90.00, 120.00 degrees
Positions (direct):
La 0.000 0.714 0.000
La 0.286 0.286 0.000
La 0.333 0.667 0.500
La 0.667 0.333 0.500
La 0.714 0.000 0.000
Tc 0.000 0.000 0.500

- symmetry = P-62m, No. 189

***

2 | The following is a DFT calculation (GGA-PBE) of a geometry-optimized La5Tc structure.

Cell lengths 6.364, 6.364, 6.364 Å; angles 60.00, 60.00, 60.00 degrees
Positions (direct):
La 0.000 0.000 0.000
La 0.130 0.623 0.623
La 0.623 0.130 0.623
La 0.623 0.623 0.130
La 0.623 0.623 0.623
Tc 0.250 0.250 0.250

- symmetry = F-43m, No. 216

***

List of relative energies, unit meV per atom: 1 0; 2 471